The following is a GGA-PBE calculation of a relaxed structure of BAuIN2, from the Alexandria database. Values from VASP.

Geometry as Quantum ESPRESSO input:
```
&SYSTEM
  ibrav = 0, nat = 5, ntyp = 4
/
ATOMIC_SPECIES
B 10.81 B.upf
Au 196.97 Au.upf
I 126.90 I.upf
N 14.01 N.upf
CELL_PARAMETERS angstrom
3.581 0.000 0.000
0.000 3.581 0.000
0.000 0.000 7.314
ATOMIC_POSITIONS angstrom
B 0.000 0.000 0.000
Au 1.790 1.790 3.657
I 0.000 0.000 3.657
N 0.000 1.790 0.000
N 1.790 0.000 0.000
```

Output
The value obtained for the energy above the most stable polymorph in this dataset is 0.0 meV per atom. The value obtained for the energy relative to the elements, uncorrected is 1734 meV per atom. Its final energy is -3.90 eV per atom.